DFT (PBE-GGA) results for KNaInCl6 after structural relaxation.

Lattice parameters (Å, degrees): 6.553 12.705 6.940 90.00 93.39 90.00
Space group C2 (No. 5)
Unique sites:
1 K 0.000 0.000 0.000 [2 per cell]
2 Na 0.000 0.372 0.500 [2 per cell]
3 In 0.000 0.679 0.500 [2 per cell]
4 Cl 0.093 0.538 0.744 [4 per cell]
5 Cl 0.134 0.171 0.654 [4 per cell]
6 Cl 0.147 0.818 0.721 [4 per cell]

DFT (PBE-GGA) results for KNbInCl6 after structural relaxation.

Lattice parameters (Å, degrees): 7.4279 7.4279 12.4136 90.00 90.00 120.00
Space group P-31c (No. 163)
Unique sites:
1 K 0.0000 0.0000 0.0000 [2 per cell]
2 Nb 0.3333 0.6667 0.2500 [2 per cell]
3 In 0.3333 0.6667 0.7500 [2 per cell]
4 Cl 0.0621 0.3971 0.1374 [12 per cell]

DFT (PBE-GGA) results for K2NdInCl6 after structural relaxation.

Lattice parameters (Å, degrees): 7.7928 7.7928 20.3509 90.00 90.00 120.00
Space group R3 (No. 146, hexagonal axes)
Unique sites:
1 K 0.0000 0.0000 0.0000 [3 per cell]
2 K 0.0000 0.0000 0.4902 [3 per cell]
3 Nd 0.0000 0.0000 0.6982 [3 per cell]
4 In 0.0000 0.0000 0.2093 [3 per cell]
5 Cl 0.0129 0.3880 0.4343 [9 per cell]
6 Cl 0.0651 0.6819 0.2783 [9 per cell]

DFT (PBE-GGA) results for KNdIn2Cl6 after structural relaxation.

Lattice parameters (Å, degrees): 7.8697 7.8697 19.9955 90.00 90.00 120.00
Space group R3 (No. 146, hexagonal axes)
Unique sites:
1 K 0.0000 0.0000 0.0000 [3 per cell]
2 Nd 0.0000 0.0000 0.4924 [3 per cell]
3 In 0.0000 0.0000 0.2864 [3 per cell]
4 In 0.0000 0.0000 0.7893 [3 per cell]
5 Cl 0.0072 0.4014 0.2281 [9 per cell]
6 Cl 0.0748 0.6874 0.0687 [9 per cell]

DFT (PBE-GGA) results for KInNiCl6 after structural relaxation.

Lattice parameters (Å, degrees): 6.4752 6.4752 7.0354 90.00 90.00 120.00
Space group P312 (No. 149)
Unique sites:
1 K 0.0000 0.0000 0.0000 [1 per cell]
2 In 0.6667 0.3333 0.5000 [1 per cell]
3 Ni 0.3333 0.6667 0.5000 [1 per cell]
4 Cl 0.0158 0.3778 0.7004 [6 per cell]

DFT (PBE-GGA) results for K2NpInCl8 after structural relaxation.

Lattice parameters (Å, degrees): 7.068 7.068 13.440 90.00 90.00 90.00
Space group I-4m2 (No. 119)
Unique sites:
1 K 0.000 0.000 0.000 [2 per cell]
2 K 0.000 0.500 0.250 [2 per cell]
3 Np 0.000 0.500 0.750 [2 per cell]
4 In 0.000 0.000 0.500 [2 per cell]
5 Cl 0.219 0.263 0.629 [16 per cell]

DFT (PBE-GGA) results for KNpIn2Cl8 after structural relaxation.

Lattice parameters (Å, degrees): 6.749 8.962 6.960 90.00 90.26 90.00
Space group P2/m (No. 10)
Unique sites:
1 K 0.000 0.000 0.000 [1 per cell]
2 Np 0.000 0.500 0.000 [1 per cell]
3 In 0.500 0.239 0.500 [2 per cell]
4 Cl 0.219 0.500 0.700 [2 per cell]
5 Cl 0.223 0.293 0.149 [4 per cell]
6 Cl 0.294 0.000 0.651 [2 per cell]

DFT (PBE-GGA) results for K2NpInCl6 after structural relaxation.

Lattice parameters (Å, degrees): 13.602 7.980 7.812 90.00 124.08 90.00
Space group C2/m (No. 12)
Unique sites:
1 K 0.250 0.000 0.212 [4 per cell]
2 Np 0.000 0.500 0.000 [2 per cell]
3 In 0.000 0.000 0.500 [2 per cell]
4 Cl 0.079 0.262 0.851 [8 per cell]
5 Cl 0.223 0.500 0.359 [4 per cell]

DFT (PBE-GGA) results for KNpIn2Cl6 after structural relaxation.

Lattice parameters (Å, degrees): 7.8438 7.8438 20.0652 90.00 90.00 120.00
Space group R3 (No. 146, hexagonal axes)
Unique sites:
1 K 0.0000 0.0000 0.0000 [3 per cell]
2 Np 0.0000 0.0000 0.5079 [3 per cell]
3 In 0.0000 0.0000 0.2102 [3 per cell]
4 In 0.0000 0.0000 0.7131 [3 per cell]
5 Cl 0.0212 0.2780 0.5979 [9 per cell]
6 Cl 0.0726 0.7299 0.1041 [9 per cell]

DFT (PBE-GGA) results for K2PaInCl8 after structural relaxation.

Lattice parameters (Å, degrees): 6.799 9.683 7.101 90.00 92.88 90.00
Space group P2/m (No. 10)
Unique sites:
1 K 0.000 0.234 0.000 [2 per cell]
2 Pa 0.500 0.500 0.500 [1 per cell]
3 In 0.500 0.000 0.500 [1 per cell]
4 Cl 0.213 0.000 0.196 [2 per cell]
5 Cl 0.253 0.500 0.210 [2 per cell]
6 Cl 0.300 0.309 0.653 [4 per cell]

DFT (PBE-GGA) results for KInPb2Cl6 after structural relaxation.

Lattice parameters (Å, degrees): 7.7962 7.7962 19.6201 90.00 90.00 120.00
Space group R3 (No. 146, hexagonal axes)
Unique sites:
1 K 0.0000 0.0000 0.0000 [3 per cell]
2 In 0.0000 0.0000 0.4987 [3 per cell]
3 Pb 0.0000 0.0000 0.2855 [3 per cell]
4 Pb 0.0000 0.0000 0.7857 [3 per cell]
5 Cl 0.0225 0.6119 0.5452 [9 per cell]
6 Cl 0.0277 0.4021 0.0474 [9 per cell]

DFT (PBE-GGA) results for K2InPbCl6 after structural relaxation.

Lattice parameters (Å, degrees): 11.176 11.179 7.899 90.00 134.91 90.00
Space group Cm (No. 8)
Unique sites:
1 K 0.000 0.250 0.000 [4 per cell]
2 In 0.424 0.000 0.498 [2 per cell]
3 Pb 0.425 0.500 0.498 [2 per cell]
4 Cl 0.150 0.500 0.987 [2 per cell]
5 Cl 0.161 0.000 0.009 [2 per cell]
6 Cl 0.163 0.500 0.499 [2 per cell]
7 Cl 0.175 0.000 0.496 [2 per cell]
8 Cl 0.407 0.244 0.499 [4 per cell]

DFT (PBE-GGA) results for K2InPbCl5 after structural relaxation.

Lattice parameters (Å, degrees): 4.354 18.206 16.273 90.00 90.00 90.00
Space group Cmc2_1 (No. 36)
Unique sites:
1 K 0.000 0.051 0.000 [4 per cell]
2 K 0.000 0.154 0.590 [4 per cell]
3 In 0.000 0.447 0.773 [4 per cell]
4 Pb 0.000 0.261 0.367 [4 per cell]
5 Cl 0.000 0.102 0.397 [4 per cell]
6 Cl 0.000 0.232 0.996 [4 per cell]
7 Cl 0.000 0.252 0.750 [4 per cell]
8 Cl 0.000 0.417 0.366 [4 per cell]
9 Cl 0.000 0.468 0.105 [4 per cell]

DFT (PBE-GGA) results for KInPdCl6 after structural relaxation.

Lattice parameters (Å, degrees): 6.6273 6.6273 7.0075 90.00 90.00 120.00
Space group P312 (No. 149)
Unique sites:
1 K 0.0000 0.0000 0.0000 [1 per cell]
2 In 0.6667 0.3333 0.5000 [1 per cell]
3 Pd 0.3333 0.6667 0.5000 [1 per cell]
4 Cl 0.0016 0.3692 0.7065 [6 per cell]

DFT (PBE-GGA) results for KIn2PdCl8 after structural relaxation.

Lattice parameters (Å, degrees): 6.5225 6.5225 29.9655 90.00 90.00 120.00
Space group R32 (No. 155, hexagonal axes)
Unique sites:
1 K 0.0000 0.0000 0.0000 [3 per cell]
2 In 0.0000 0.0000 0.2478 [6 per cell]
3 Pd 0.0000 0.0000 0.5000 [3 per cell]
4 Cl 0.0000 0.0000 0.3281 [6 per cell]
5 Cl 0.0055 0.3563 0.2256 [18 per cell]

DFT (PBE-GGA) results for KPmIn2Cl6 after structural relaxation.

Lattice parameters (Å, degrees): 7.8507 7.8507 19.9311 90.00 90.00 120.00
Space group R3 (No. 146, hexagonal axes)
Unique sites:
1 K 0.0000 0.0000 0.0000 [3 per cell]
2 Pm 0.0000 0.0000 0.4926 [3 per cell]
3 In 0.0000 0.0000 0.2865 [3 per cell]
4 In 0.0000 0.0000 0.7893 [3 per cell]
5 Cl 0.0094 0.4038 0.2285 [9 per cell]
6 Cl 0.0765 0.6893 0.0698 [9 per cell]

DFT (PBE-GGA) results for KPrIn2Cl6 after structural relaxation.

Lattice parameters (Å, degrees): 7.884 7.888 8.079 60.81 60.81 60.03
Space group P1 (No. 1)
Unique sites:
1 K 0.000 0.000 0.000 [1 per cell]
2 Pr 0.492 0.493 0.523 [1 per cell]
3 In 0.286 0.286 0.141 [1 per cell]
4 In 0.789 0.790 0.632 [1 per cell]
5 Cl 0.141 0.382 0.796 [1 per cell]
6 Cl 0.233 0.829 0.316 [1 per cell]
7 Cl 0.382 0.680 0.797 [1 per cell]
8 Cl 0.622 0.233 0.316 [1 per cell]
9 Cl 0.680 0.141 0.797 [1 per cell]
10 Cl 0.829 0.622 0.316 [1 per cell]

DFT (PBE-GGA) results for K2PrInCl6 after structural relaxation.

Lattice parameters (Å, degrees): 7.8088 7.8088 20.4137 90.00 90.00 120.00
Space group R3 (No. 146, hexagonal axes)
Unique sites:
1 K 0.0000 0.0000 0.0000 [3 per cell]
2 K 0.0000 0.0000 0.4905 [3 per cell]
3 Pr 0.0000 0.0000 0.6985 [3 per cell]
4 In 0.0000 0.0000 0.2093 [3 per cell]
5 Cl 0.0104 0.3855 0.4343 [9 per cell]
6 Cl 0.0636 0.6804 0.2778 [9 per cell]

DFT (PBE-GGA) results for KInPtCl6 after structural relaxation.

Lattice parameters (Å, degrees): 6.6522 6.6522 6.9872 90.00 90.00 120.00
Space group P312 (No. 149)
Unique sites:
1 K 0.0000 0.0000 0.0000 [1 per cell]
2 In 0.6667 0.3333 0.5000 [1 per cell]
3 Pt 0.3333 0.6667 0.5000 [1 per cell]
4 Cl 0.0018 0.3686 0.7061 [6 per cell]

DFT (PBE-GGA) results for KPuIn2Cl6 after structural relaxation.

Lattice parameters (Å, degrees): 7.8204 7.8204 20.0551 90.00 90.00 120.00
Space group R3 (No. 146, hexagonal axes)
Unique sites:
1 K 0.0000 0.0000 0.0000 [3 per cell]
2 Pu 0.0000 0.0000 0.5084 [3 per cell]
3 In 0.0000 0.0000 0.2094 [3 per cell]
4 In 0.0000 0.0000 0.7140 [3 per cell]
5 Cl 0.0210 0.7433 0.5976 [9 per cell]
6 Cl 0.0737 0.3443 0.1040 [9 per cell]

The energy results, record by record, are as follows: -54.92; -73.85; -118.74; -116.66; -30.91; -101.25; -50.54; -90.81; -134.46; -49.57; -104.70; -66.73; -122.64; -29.57; -114.52; -116.72; -38.88; -118.70; -29.57; -140.85 eV for the cell shown.
The ρ results, record by record, are as follows: 2.24; 2.57; 2.56; 2.91; 2.76; 3.53; 3.11; 3.04; 3.35; 2.52; 3.77; 2.91; 2.97; 2.95; 2.97; 2.93; 2.87; 2.53; 3.48; 3.40 Mg/m³.